Entry P
ErThAl2 | PBE-GGA | relaxed

Cell and atoms, written as POSCAR:
```
ErThAl2
1.0
3.5956 0.0000 0.0000
0.0000 3.5956 0.0000
0.0000 0.0000 7.5238
Er Th Al
1 1 2
direct
0.0000 0.0000 0.0000
0.0000 0.0000 0.5000
0.5000 0.5000 0.2326
0.5000 0.5000 0.7674
```

Results
SG: P4/mmm, No. 123
Crystal system: tetragonal


Entry Q
ErThAl2 | PBE-GGA | relaxed

Cell and atoms, written as POSCAR:
```
ErThAl2
1.0
4.8342 0.0000 0.0000
0.0000 4.8342 0.0000
0.0000 0.0000 4.2081
Er Th Al
1 1 2
direct
0.0000 0.0000 0.0000
0.5000 0.5000 0.0000
0.0000 0.5000 0.5000
0.5000 0.0000 0.5000
```

Results
SG: P4/mmm, No. 123
Crystal system: tetragonal


Top of the stability list: entry P, leading by 31 meV per atom.


Entry P
ErThAl2 | PBE-GGA | relaxed

Cell and atoms, written as POSCAR:
```
ErThAl2
1.0
0.0000 3.6562 3.6562
3.6562 0.0000 3.6562
3.6562 3.6562 0.0000
Er Th Al
1 1 2
direct
0.0000 0.0000 0.0000
0.5000 0.5000 0.5000
0.2500 0.2500 0.2500
0.7500 0.7500 0.7500
```

Results
SG: Fm-3m, No. 225
Crystal system: cubic


Entry Q
ErThAl2 | PBE-GGA | relaxed

Cell and atoms, written as POSCAR:
```
ErThAl2
1.0
1.7896 1.0332 9.4009
-1.7896 1.0332 9.4009
0.0000 -2.0665 9.4009
Er Th Al
1 1 2
direct
0.0000 0.0000 0.0000
0.5000 0.5000 0.5000
0.2528 0.2528 0.2528
0.7472 0.7472 0.7472
```

Results
SG: R-3m, No. 166
Crystal system: trigonal


Entry R
ErThAl2 | PBE-GGA | relaxed

Cell and atoms, written as POSCAR:
```
ErThAl2
1.0
7.9430 0.0000 0.0000
0.0000 4.4231 0.0000
0.0000 0.0000 11.1431
Er Th Al
4 4 8
direct
0.0469 0.2500 0.1033
0.4531 0.7500 0.6033
0.5469 0.2500 0.3967
0.9531 0.7500 0.8967
0.2137 0.7500 0.3158
0.2863 0.2500 0.8158
0.7137 0.7500 0.1842
0.7863 0.2500 0.6842
0.0770 0.7500 0.6380
0.1949 0.2500 0.5249
0.3051 0.7500 0.0249
0.4230 0.2500 0.1380
0.5770 0.7500 0.8620
0.6949 0.2500 0.9751
0.8051 0.7500 0.4751
0.9230 0.2500 0.3620
```

Results
SG: Pnma, No. 62
Crystal system: orthorhombic


Top of the stability list: entry R, leading by 27 meV per atom.


Entry P
Er2ThAl6 | PBE-GGA | relaxed

Cell and atoms, written as POSCAR:
```
Er2ThAl6
1.0
-2.1671 3.5993 6.7330
2.1671 -3.5993 6.7330
2.1671 3.5993 -6.7330
Er Th Al
2 1 6
direct
0.1242 0.1242 0.0000
0.8758 0.8758 0.0000
0.5000 0.0000 0.5000
0.1240 0.3166 0.8074
0.1823 0.5000 0.6823
0.4909 0.6834 0.8074
0.5091 0.3166 0.1926
0.8177 0.5000 0.3177
0.8760 0.6834 0.1926
```

Results
SG: Immm, No. 71
Crystal system: orthorhombic


Entry Q
Er2ThAl6 | PBE-GGA | relaxed

Cell and atoms, written as POSCAR:
```
Er2ThAl6
1.0
7.9023 0.0000 0.0000
-3.9512 6.8436 0.0000
0.0000 0.0000 3.5669
Er Th Al
2 1 6
direct
0.3333 0.6667 0.0000
0.6667 0.3333 0.0000
0.0000 0.0000 0.0000
0.0000 0.3355 0.5000
0.0000 0.6645 0.5000
0.3355 0.0000 0.5000
0.3355 0.3355 0.5000
0.6645 0.0000 0.5000
0.6645 0.6645 0.5000
```

Results
SG: P6/mmm, No. 191
Crystal system: hexagonal


Top of the stability list: entry Q, leading by 231 meV per atom.


Entry P
Er2TiAl | PBE-GGA | relaxed

Cell and atoms, written as POSCAR:
```
Er2TiAl
1.0
0.0000 3.6067 3.6067
3.6067 0.0000 3.6067
3.6067 3.6067 0.0000
Er Ti Al
2 1 1
direct
0.2500 0.2500 0.2500
0.7500 0.7500 0.7500
0.0000 0.0000 0.0000
0.5000 0.5000 0.5000
```

Results
SG: Fm-3m, No. 225
Crystal system: cubic


Entry Q
Er2TiAl | PBE-GGA | relaxed

Cell and atoms, written as POSCAR:
```
Er2TiAl
1.0
3.3717 0.0000 0.0000
0.0000 3.3717 0.0000
0.0000 0.0000 8.2042
Er Ti Al
2 1 1
direct
0.0000 0.0000 0.2440
0.0000 0.0000 0.7560
0.5000 0.5000 0.5000
0.5000 0.5000 0.0000
```

Results
SG: P4/mmm, No. 123
Crystal system: tetragonal


Top of the stability list: entry Q, leading by 20 meV per atom.